First-principles (meta-GGA SCAN) data for a crystal of CaTeIr relaxed with PBEsol, as listed in the Alexandria database.

Computed properties:
The calculation puts the volume at 129.4 Å³/cell. The calculation puts the uncorrected formation energy at -8.7 kJ per mole of atoms.

a = 3.419 Å, b = 4.329 Å, c = 8.743 Å
α = 90.00°, β = 90.00°, γ = 90.00°
Space group Imm2 (No. 44)
One atom of each set of equivalent atoms:
Ca 0.000 0.000 0.000 x2
Te 0.000 0.000 0.333 x2
Ir 0.000 0.000 0.631 x2